Compound: Hf3Fe8Sn
Source: the Alexandria database
Functional: GGA-PBE
Structure: optimized geometry

Cell: 4.9343 4.9343 24.1794 Å, 90.00 90.00 120.00°
Space group R3m (No. 160, hexagonal axes)
One atom of each set of equivalent atoms:
Hf (0.0000, 0.0000, 0.0000) (multiplicity 3)
Hf (0.0000, 0.0000, 0.1255) (multiplicity 3)
Hf (0.0000, 0.0000, 0.6234) (multiplicity 3)
Fe (0.0000, 0.0000, 0.3123) (multiplicity 3)
Fe (0.0000, 0.0000, 0.8121) (multiplicity 3)
Fe (0.0004, 0.5002, 0.5629) (multiplicity 9)
Fe (0.1672, 0.3344, 0.3948) (multiplicity 9)
Sn (0.0000, 0.0000, 0.4984) (multiplicity 3)

Values from the calculation:
size of the total moment: 13.7 μB per formula unit
DOS at the Fermi energy: 0.53 states/eV/atom
E_form: -285 meV/atom

=====

Compound: Hf3FeSn
Source: the Alexandria database
Functional: GGA-PBE
Structure: optimized geometry

Cell: 7.637 3.843 7.652 Å, 90.00 115.17 90.00°
Space group P2_1/m (No. 11)
One atom of each set of equivalent atoms:
Hf (0.035, 0.250, 0.213) (multiplicity 2)
Hf (0.326, 0.250, 0.904) (multiplicity 2)
Hf (0.332, 0.750, 0.589) (multiplicity 2)
Fe (0.075, 0.250, 0.564) (multiplicity 2)
Sn (0.329, 0.750, 0.198) (multiplicity 2)

Values from the calculation:
size of the total moment: 0.0 μB per formula unit
DOS at the Fermi energy: 0.82 states/eV/atom
E_form: -258 meV/atom

=====

Compound: Hf4FeSn2
Source: the Alexandria database
Functional: GGA-PBE
Structure: optimized geometry

Cell: 4.644 4.644 15.090 Å, 90.00 90.00 90.00°
Space group I4/mmm (No. 139)
One atom of each set of equivalent atoms:
Hf (0.000, 0.000, 0.163) (multiplicity 4)
Hf (0.000, 0.500, 0.000) (multiplicity 4)
Fe (0.000, 0.000, 0.000) (multiplicity 2)
Sn (0.000, 0.000, 0.358) (multiplicity 4)

Values from the calculation:
size of the total moment: 0.0 μB per formula unit
DOS at the Fermi energy: 1.03 states/eV/atom
E_form: -7 meV/atom

=====

Compound: Hf8Fe2Sn
Source: the Alexandria database
Functional: GGA-PBE
Structure: optimized geometry

Cell: 7.680 12.288 5.050 Å, 90.00 106.61 90.00°
Space group C2/m (No. 12)
One atom of each set of equivalent atoms:
Hf (0.000, 0.249, 0.000) (multiplicity 4)
Hf (0.092, 0.000, 0.803) (multiplicity 4)
Hf (0.209, 0.375, 0.561) (multiplicity 8)
Fe (0.000, 0.207, 0.500) (multiplicity 4)
Sn (0.000, 0.500, 0.000) (multiplicity 2)

Values from the calculation:
size of the total moment: 0.0 μB per formula unit
DOS at the Fermi energy: 1.12 states/eV/atom
E_form: -76 meV/atom

=====

Compound: HfFeSn3
Source: the Alexandria database
Functional: GGA-PBE
Structure: optimized geometry

Cell: 4.866 4.866 4.866 Å, 90.00 90.00 90.00°
Space group Pm-3m (No. 221)
One atom of each set of equivalent atoms:
Hf (0.000, 0.000, 0.000) (multiplicity 1)
Fe (0.500, 0.500, 0.500) (multiplicity 1)
Sn (0.000, 0.500, 0.500) (multiplicity 3)

Values from the calculation:
size of the total moment: 0.8 μB per formula unit
DOS at the Fermi energy: 1.33 states/eV/atom
E_form: 514 meV/atom

=====

Compound: Hf6FeSn3
Source: the Alexandria database
Functional: GGA-PBE
Structure: optimized geometry

Cell: 5.454 8.079 11.153 Å, 90.00 117.14 90.00°
Space group P2_1/c (No. 14)
One atom of each set of equivalent atoms:
Hf (0.043, 0.156, 0.441) (multiplicity 4)
Hf (0.362, 0.704, 0.435) (multiplicity 4)
Hf (0.409, 0.048, 0.272) (multiplicity 4)
Fe (0.500, 0.000, 0.500) (multiplicity 2)
Sn (0.000, 0.000, 0.000) (multiplicity 2)
Sn (0.150, 0.116, 0.763) (multiplicity 4)

Values from the calculation:
size of the total moment: 0.0 μB per formula unit
DOS at the Fermi energy: 0.66 states/eV/atom
E_form: -157 meV/atom